1.
Entry from Alexandria: crystalline Ho3Ir2Rh2 at its relaxed geometry (GGA-PBE).

Computed properties:
VASP energy	-7.21	eV/atom
density of states at the Fermi level	6.07	states/eV/cell
SG	P-1, No. 2

Cell: 3.699 5.328 7.479 Å, 91.95 90.52 109.89°
Fractional positions:
1 Ho 0.000 0.000 0.000
2 Ho 0.352 0.711 0.342
3 Ho 0.648 0.289 0.658
4 Ir 0.315 0.601 0.879
5 Ir 0.685 0.399 0.121
6 Rh 0.088 0.160 0.358
7 Rh 0.912 0.840 0.642

---

2.
Entry from Alexandria: crystalline TlCdSnTe3 at its relaxed geometry (GGA-PBE).

Computed properties:
raw formation energy	-0.273	eV/atom
density of states at the Fermi level	3.96	states/eV/cell
SG	P2_1/m, No. 11

Cell: 9.435 4.356 10.374 Å, 90.00 103.08 90.00°
Fractional positions:
1 Tl 0.202 0.250 0.244
2 Tl 0.798 0.750 0.756
3 Cd 0.081 0.250 0.612
4 Cd 0.919 0.750 0.388
5 Sn 0.332 0.750 0.886
6 Sn 0.668 0.250 0.114
7 Te 0.102 0.250 0.891
8 Te 0.232 0.750 0.523
9 Te 0.458 0.750 0.174
10 Te 0.542 0.250 0.826
11 Te 0.768 0.250 0.477
12 Te 0.898 0.750 0.109